Pm4Y3Er, optimized geometry, DFT PBE; DOS(E_F) = 30.25 states/eV per cell; calculated density = 6.3 Mg/m³; raw total energy = -0.1966 Ha/atom; formation energy from the elements = 0.02 eV/atom; energy above the lowest structure with this stoichiometry = 0 meV per atom
1.0
6.3347 0.0000 0.0000
0.0000 7.3378 0.0000
0.0000 0.0000 11.5328
Pm Y Er
8 6 2
Cartesian
0.9577 6.4136 0.0000
4.1018 0.9243 0.0000
6.2111 0.9292 2.8619
3.0437 6.4086 2.9044
0.9345 6.4135 5.7664
4.1250 0.9242 5.7664
3.0437 6.4086 8.6283
6.2111 0.9292 8.6708
4.0982 4.5736 0.0000
6.2159 4.5711 2.8822
3.0486 2.7667 2.8841
0.9308 2.7643 5.7664
3.0486 2.7667 8.6486
6.2159 4.5711 8.6505
0.9260 2.7714 0.0000
4.0934 4.5664 5.7664